# 1
{"formula": "LiRhW2", "functional": "PBE", "state": "optimized geometry", "lattice_angstrom": [[2.6995, 0.0000, 0.0000], [0.0000, 4.3564, 0.0000], [-1.1682, 0.0000, 4.9948]], "species": ["Li", "Rh", "W", "W"], "fractional_positions": [[0.0000, 0.0000, 0.0000], [0.5000, 0.0000, 0.5000], [0.2307, 0.5000, 0.7554], [0.7693, 0.5000, 0.2446]], "sg": "No. 10", "ef_ev_per_atom": 0.1942, "energy_ry_per_atom": -0.6320}


# 2
{"formula": "La2Pr8Y3", "functional": "PBE", "state": "optimized geometry", "lattice_angstrom": [[7.7739, 0.0000, 0.0000], [0.0000, 5.7711, 0.0000], [-3.8844, 0.0000, 10.5844]], "species": ["La", "La", "Pr", "Pr", "Pr", "Pr", "Pr", "Pr", "Pr", "Pr", "Y", "Y", "Y"], "fractional_positions": [[0.2404, 0.0000, 0.4824], [0.7596, 0.0000, 0.5176], [0.1295, 0.5000, 0.2593], [0.1935, 0.0000, 0.7943], [0.3316, 0.5000, 0.6632], [0.3986, 0.0000, 0.2059], [0.6014, 0.0000, 0.7941], [0.6684, 0.5000, 0.3368], [0.8065, 0.0000, 0.2057], [0.8705, 0.5000, 0.7407], [0.0000, 0.0000, 0.0000], [0.2835, 0.5000, 0.0000], [0.7165, 0.5000, 0.0000]], "sg": "No. 10", "ef_ev_per_atom": 0.1903, "energy_ry_per_atom": -0.3675}